Version 1
This record from the Alexandria database describes Ho6ErTl after structural relaxation. The functional is PBE-GGA.

abc: 6.578 6.578 9.221
angles: 110.73 110.73 120.25
Element x y z (fractional)
Ho 0.320 0.753 0.749
Ho 0.184 0.184 0.750
Ho 0.753 0.320 0.749
Ho 0.247 0.680 0.251
Ho 0.680 0.247 0.251
Ho 0.816 0.816 0.250
Tl 0.000 0.000 0.000
Er 0.500 0.500 0.500

Version 2
This record from the Alexandria database describes Ho6ErTl after structural relaxation. The functional is PBE-GGA.

abc: 4.878 4.878 9.969
angles: 90.00 90.00 90.00
Element x y z (fractional)
Ho 0.500 0.500 0.000
Ho 0.000 0.500 0.747
Ho 0.500 0.500 0.500
Ho 0.500 0.000 0.747
Ho 0.000 0.500 0.253
Ho 0.500 0.000 0.253
Tl 0.000 0.000 0.500
Er 0.000 0.000 0.000

Of them, the most stable is version 2 and the least stable is version 1.

Version 1
This record from the Alexandria database describes Ho2Er5Tl after structural relaxation. The functional is PBE-GGA.

abc: 3.497 9.510 9.263
angles: 120.88 112.16 90.00
Element x y z (fractional)
Tl 0.000 0.000 0.000
Er 0.746 0.889 0.246
Er 0.254 0.643 0.754
Er 0.746 0.357 0.246
Er 0.254 0.111 0.754
Er 0.000 0.500 0.000
Ho 0.537 0.268 0.537
Ho 0.463 0.732 0.463

Version 2
This record from the Alexandria database describes Ho2Er5Tl after structural relaxation. The functional is PBE-GGA.

abc: 4.919 6.909 13.901
angles: 90.00 90.00 90.00
Element x y z (fractional)
Er 0.500 0.256 0.374
Er 0.000 0.501 0.245
Er 0.500 0.244 0.874
Er 0.000 0.000 0.000
Er 0.500 0.756 0.126
Er 0.000 0.001 0.255
Er 0.000 0.999 0.745
Er 0.500 0.744 0.626
Er 0.000 0.499 0.755
Er 0.000 0.500 0.500
Ho 0.500 0.745 0.374
Ho 0.500 0.245 0.126
Ho 0.500 0.255 0.626
Ho 0.500 0.755 0.874
Tl 0.000 0.500 0.000
Tl 0.000 0.000 0.500

Of them, the most stable is version 1 and the least stable is version 2.

Version 1
This record from the Alexandria database describes Ho2Er3Tl after structural relaxation. The functional is PBE-GGA.

abc: 4.834 4.828 7.872
angles: 107.86 90.00 90.00
Element x y z (fractional)
Ho 0.000 0.663 0.325
Ho 0.000 0.337 0.675
Tl 0.000 0.000 0.000
Er 0.500 0.831 0.661
Er 0.500 0.169 0.339
Er 0.500 0.500 0.000

Version 2
This record from the Alexandria database describes Ho2Er3Tl after structural relaxation. The functional is PBE-GGA.

abc: 6.390 5.713 6.617
angles: 115.58 118.87 90.00
Element x y z (fractional)
Ho 0.818 0.441 0.635
Ho 0.182 0.806 0.365
Er 0.000 0.124 0.000
Er 0.344 0.468 0.687
Er 0.656 0.780 0.313
Tl 0.500 0.124 0.000

Of them, the most stable is version 1 and the least stable is version 2.

Version 1
This record from the Alexandria database describes Ho2Er6Tl after structural relaxation. The functional is PBE-GGA.

abc: 5.014 14.421 14.421
angles: 40.16 58.57 58.57
Element x y z (fractional)
Er 0.014 0.047 0.777
Er 0.500 0.701 0.465
Er 0.172 0.064 0.321
Er 0.000 0.465 0.701
Er 0.328 0.679 0.936
Er 0.828 0.936 0.679
Er 0.672 0.321 0.064
Er 0.000 0.535 0.299
Er 0.486 0.223 0.953
Er 0.514 0.777 0.047
Er 0.986 0.953 0.223
Er 0.500 0.299 0.535
Ho 0.659 0.819 0.576
Ho 0.159 0.576 0.819
Ho 0.341 0.181 0.424
Ho 0.841 0.424 0.181
Tl 0.250 0.123 0.877
Tl 0.750 0.877 0.123

Version 2
This record from the Alexandria database describes Ho2Er6Tl after structural relaxation. The functional is PBE-GGA.

abc: 4.850 10.515 10.515
angles: 90.00 90.00 90.00
Element x y z (fractional)
Er 0.500 0.163 0.663
Er 0.000 0.000 0.164
Er 0.000 0.000 0.836
Er 0.000 0.336 0.500
Er 0.500 0.164 0.000
Er 0.000 0.664 0.500
Er 0.500 0.837 0.337
Er 0.000 0.337 0.163
Er 0.500 0.500 0.336
Er 0.000 0.663 0.837
Er 0.500 0.836 0.000
Er 0.500 0.500 0.664
Ho 0.000 0.338 0.837
Ho 0.000 0.662 0.163
Ho 0.500 0.837 0.663
Ho 0.500 0.163 0.337
Tl 0.500 0.500 0.000
Tl 0.000 0.000 0.500

Of them, the most stable is version 2 and the least stable is version 1.

Version 1
This record from the Alexandria database describes Ho2Er2Tl after structural relaxation. The functional is PBE-GGA.

abc: 8.305 6.308 8.766
angles: 70.47 59.48 48.83
Element x y z (fractional)
Tl 0.167 0.666 0.000
Tl 0.833 0.334 0.000
Ho 0.394 0.000 0.883
Ho 0.267 0.000 0.571
Ho 0.733 0.000 0.429
Ho 0.606 0.000 0.117
Er 0.034 0.632 0.717
Er 0.666 0.368 0.717
Er 0.966 0.368 0.283
Er 0.334 0.632 0.283

Version 2
This record from the Alexandria database describes Ho2Er2Tl after structural relaxation. The functional is PBE-GGA.

abc: 4.680 8.103 8.104
angles: 90.00 90.00 90.00
Element x y z (fractional)
Tl 0.000 0.000 0.000
Tl 0.000 0.500 0.500
Er 0.500 0.150 0.650
Er 0.500 0.850 0.350
Er 0.500 0.350 0.150
Er 0.500 0.650 0.850
Ho 0.000 0.351 0.851
Ho 0.000 0.851 0.649
Ho 0.000 0.149 0.351
Ho 0.000 0.649 0.149

Of them, the most stable is version 1 and the least stable is version 2.

Version 1
This record from the Alexandria database describes HoErTmTl after structural relaxation. The functional is PBE-GGA.

abc: 4.813 4.806 4.810
angles: 90.00 90.00 90.00
Last column: magnetic moment on the atom in μB.
Element x y z (fractional)
Tm 0.000 0.000 0.000  0.15
Tl 0.000 0.500 0.500  -0.01
Ho 0.500 0.500 0.000  0.14
Er 0.500 0.000 0.500  0.14

Version 2
This record from the Alexandria database describes HoErTmTl after structural relaxation. The functional is PBE-GGA.

abc: 5.419 5.419 5.419
angles: 60.00 60.00 60.00
Last column: magnetic moment on the atom in μB.
Element x y z (fractional)
Tm 0.500 0.500 0.500  0.36
Tl 0.000 0.000 0.000  0.00
Er 0.750 0.750 0.750  0.31
Ho 0.250 0.250 0.250  0.30

Of them, the most stable is version 1 and the least stable is version 2.

Version 1
This record from the Alexandria database describes YHoErTl after structural relaxation. The functional is PBE-GGA.

abc: 5.450 5.450 5.450
angles: 60.00 60.00 60.00
Last column: magnetic moment on the atom in μB.
Element x y z (fractional)
Ho 0.000 0.000 0.000  0.33
Er 0.750 0.750 0.750  0.42
Tl 0.250 0.250 0.250  0.00
Y 0.500 0.500 0.500  0.26

Version 2
This record from the Alexandria database describes YHoErTl after structural relaxation. The functional is PBE-GGA.

abc: 4.833 4.853 4.825
angles: 90.00 90.00 90.00
Last column: magnetic moment on the atom in μB.
Element x y z (fractional)
Y 0.500 0.000 0.500  -0.20
Ho 0.500 0.500 0.000  -0.26
Er 0.000 0.500 0.500  -0.26
Tl 0.000 0.000 0.000  0.01

Of them, the most stable is version 2 and the least stable is version 1.

Version 1
This record from the Alexandria database describes Ho2Er5Tm2 after structural relaxation. The functional is PBE-GGA.

abc: 11.509 6.651 9.905
angles: 109.62 125.52 90.00
Element x y z (fractional)
Er 0.987 0.650 0.500
Er 0.184 0.158 0.893
Er 0.383 0.033 0.285
Er 0.617 0.748 0.715
Er 0.598 0.248 0.715
Er 0.402 0.533 0.285
Er 0.209 0.658 0.893
Er 0.013 0.150 0.500
Er 0.791 0.765 0.107
Er 0.816 0.265 0.107
Ho 0.734 0.865 0.500
Ho 0.266 0.365 0.500
Ho 0.500 0.496 0.000
Ho 0.000 0.996 0.000
Tm 0.638 0.189 0.257
Tm 0.362 0.932 0.743
Tm 0.881 0.432 0.743
Tm 0.119 0.689 0.257

Version 2
This record from the Alexandria database describes Ho2Er5Tm2 after structural relaxation. The functional is PBE-GGA.

abc: 4.936 9.260 7.822
angles: 53.73 71.61 74.54
Element x y z (fractional)
Er 0.222 0.667 0.889
Er 0.333 0.000 0.333
Er 0.000 0.000 0.000
Er 0.778 0.333 0.111
Er 0.667 0.000 0.667
Ho 0.111 0.333 0.445
Ho 0.889 0.667 0.555
Tm 0.444 0.333 0.778
Tm 0.556 0.667 0.222

Of them, the most stable is version 2 and the least stable is version 1.

Version 1
This record from the Alexandria database describes Ho2ErTm4 after structural relaxation. The functional is PBE-GGA.

abc: 9.732 8.299 8.297
angles: 137.98 97.55 95.12
Element x y z (fractional)
Tm 0.846 0.502 0.732
Tm 0.405 0.643 0.163
Tm 0.049 0.533 0.122
Tm 0.701 0.142 0.804
Tm 0.201 0.825 0.987
Tm 0.345 0.042 0.772
Tm 0.905 0.172 0.192
Tm 0.549 0.856 0.944
Er 0.983 0.859 0.664
Er 0.267 0.436 0.381
Ho 0.625 0.489 0.364
Ho 0.125 0.190 0.565
Ho 0.483 0.248 0.552
Ho 0.768 0.814 0.259

Version 2
This record from the Alexandria database describes Ho2ErTm4 after structural relaxation. The functional is PBE-GGA.

abc: 3.551 3.551 19.592
angles: 95.18 90.00 120.00
Element x y z (fractional)
Tm 0.429 0.857 0.525
Tm 0.000 0.000 0.238
Tm 0.524 0.048 0.810
Tm 0.905 0.810 0.951
Ho 0.714 0.428 0.381
Ho 0.619 0.239 0.094
Er 0.810 0.619 0.668

Of them, the most stable is version 2 and the least stable is version 1.

Version 1
This record from the Alexandria database describes HoEr7Tm3 after structural relaxation. The functional is PBE-GGA.

abc: 5.693 8.293 8.293
angles: 83.23 110.14 110.14
Last column: magnetic moment on the atom in μB.
Element x y z (fractional)
Er 0.300 0.600 0.001  0.01
Er 0.300 0.001 0.600  0.01
Er 0.792 0.793 0.793  0.01
Er 0.208 0.207 0.207  0.01
Er 0.000 0.500 0.500  0.16
Er 0.700 0.999 0.400  0.01
Er 0.700 0.400 0.999  0.01
Tm 0.000 0.207 0.793  0.01
Tm 0.500 0.000 0.000  0.00
Tm 0.000 0.793 0.207  0.01
Ho 0.500 0.500 0.500  0.16

Version 2
This record from the Alexandria database describes HoEr7Tm3 after structural relaxation. The functional is PBE-GGA.

abc: 5.436 9.766 8.757
angles: 105.76 128.38 89.99
Element x y z (fractional)
Tm 0.722 0.001 0.221
Tm 0.000 0.500 0.000
Tm 0.278 0.999 0.779
Er 0.082 0.169 0.082
Er 0.322 0.641 0.822
Er 0.146 0.291 0.646
Er 0.854 0.709 0.354
Er 0.678 0.359 0.178
Er 0.918 0.831 0.918
Er 0.500 0.000 0.500
Ho 0.500 0.500 0.500

Of them, the most stable is version 2 and the least stable is version 1.

Version 1
This record from the Alexandria database describes Ho2Er3Tm after structural relaxation. The functional is PBE-GGA.

abc: 3.584 11.073 10.968
angles: 120.32 99.40 90.00
Element x y z (fractional)
Ho 0.055 0.180 0.110
Ho 0.945 0.820 0.890
Ho 0.722 0.347 0.444
Ho 0.278 0.653 0.556
Tm 0.611 0.986 0.223
Tm 0.389 0.014 0.777
Er 0.056 0.681 0.111
Er 0.722 0.848 0.444
Er 0.278 0.152 0.556
Er 0.611 0.486 0.222
Er 0.389 0.514 0.778
Er 0.944 0.319 0.889

Version 2
This record from the Alexandria database describes Ho2Er3Tm after structural relaxation. The functional is PBE-GGA.

abc: 6.056 7.001 9.264
angles: 112.20 89.97 90.00
Element x y z (fractional)
Ho 0.083 0.792 0.333
Ho 0.417 0.459 0.667
Ho 0.583 0.541 0.333
Ho 0.917 0.208 0.667
Er 0.917 0.709 0.667
Er 0.250 0.375 0.000
Er 0.417 0.959 0.667
Er 0.583 0.041 0.333
Er 0.083 0.291 0.333
Er 0.750 0.625 0.000
Tm 0.250 0.875 0.000
Tm 0.750 0.125 0.000

Of them, the most stable is version 1 and the least stable is version 2.